1 | Density functional theory data (PBE) for CdFeTeRu after structural relaxation.

- Space-group type: No. 160
- V: 21.13 A^3/atom
- N(E_F): 9.32 states/eV/cell
- Theoretical density: 7.80 g cm⁻³

a b c (Å): 4.006 4.006 18.250
angles (deg): 90.00 90.00 120.00
Each line ends with the local moment (μB).
Positions (direct):
Ru (0.000, 0.000, 0.446)  0.15
Ru (0.333, 0.667, 0.113)  0.15
Ru (0.667, 0.333, 0.780)  0.15
Te (0.000, 0.000, 0.698)  -0.03
Te (0.333, 0.667, 0.364)  -0.03
Te (0.667, 0.333, 0.031)  -0.03
Fe (0.000, 0.000, 0.137)  2.09
Fe (0.333, 0.667, 0.804)  2.09
Fe (0.667, 0.333, 0.471)  2.09
Cd (0.000, 0.000, 0.891)  -0.02
Cd (0.333, 0.667, 0.558)  -0.02
Cd (0.667, 0.333, 0.225)  -0.02

---

2 | Density functional theory data (PBE) for CdFeTeRu after structural relaxation.

- Space-group type: No. 25
- V: 19.64 A^3/atom
- N(E_F): 4.36 states/eV/cell
- Theoretical density: 8.39 g cm⁻³

a b c (Å): 3.098 3.038 8.346
angles (deg): 90.00 90.00 90.00
Each line ends with the local moment (μB).
Positions (direct):
Ru (0.500, 0.500, 0.909)  0.44
Te (0.000, 0.500, 0.173)  0.02
Fe (0.000, 0.000, 0.754)  2.48
Cd (0.500, 0.500, 0.538)  -0.05

---

3 | Density functional theory data (PBE) for CdFeTeRu after structural relaxation.

- Space-group type: No. 8
- V: 21.83 A^3/atom
- N(E_F): 9.37 states/eV/cell
- Theoretical density: 7.55 g cm⁻³

a b c (Å): 7.230 3.827 6.633
angles (deg): 90.00 107.91 90.00
Each line ends with the local moment (μB).
Positions (direct):
Ru (0.692, 0.000, 0.466)  0.34
Ru (0.692, 0.500, 0.966)  0.34
Te (0.991, 0.000, 0.900)  -0.01
Te (0.991, 0.500, 0.400)  -0.01
Fe (0.807, 0.000, 0.172)  0.73
Fe (0.807, 0.500, 0.672)  0.73
Cd (0.417, 0.000, 0.040)  0.00
Cd (0.417, 0.500, 0.540)  0.00

---

4 | Density functional theory data (PBE) for CdFeTeRu after structural relaxation.

- Space-group type: No. 160
- V: 23.33 A^3/atom
- N(E_F): 7.61 states/eV/cell
- Theoretical density: 7.06 g cm⁻³

a b c (Å): 3.940 3.940 20.827
angles (deg): 90.00 90.00 120.00
Each line ends with the local moment (μB).
Positions (direct):
Ru (0.000, 0.000, 0.714)  -0.07
Ru (0.333, 0.667, 0.380)  -0.07
Ru (0.667, 0.333, 0.047)  -0.07
Te (0.000, 0.000, 0.981)  -0.04
Te (0.333, 0.667, 0.648)  -0.04
Te (0.667, 0.333, 0.314)  -0.04
Fe (0.000, 0.000, 0.417)  2.35
Fe (0.333, 0.667, 0.084)  2.35
Fe (0.667, 0.333, 0.751)  2.35
Cd (0.000, 0.000, 0.843)  -0.01
Cd (0.333, 0.667, 0.509)  -0.01
Cd (0.667, 0.333, 0.176)  -0.01

---

Looking at the structures above, 4 is most stable, and the difference to the next one is 1.6 kJ/mol of atoms.